No. 1
The following is a PBE-GGA calculation of an optimized crystal structure of KScCdBr6, from Alexandria.

a = 7.131 Å, b = 7.131 Å, c = 14.502 Å
α = 90.00°, β = 90.00°, γ = 120.00°
Fractional positions:
K 0.000 0.000 0.000
K 0.000 0.000 0.500
Sc 0.667 0.333 0.250
Sc 0.333 0.667 0.750
Cd 0.333 0.667 0.250
Cd 0.667 0.333 0.750
Br 0.634 0.620 0.142
Br 0.985 0.366 0.142
Br 0.366 0.985 0.642
Br 0.015 0.634 0.858
Br 0.380 0.366 0.358
Br 0.985 0.620 0.358
Br 0.620 0.985 0.858
Br 0.634 0.015 0.358
Br 0.015 0.380 0.642
Br 0.380 0.015 0.142
Br 0.620 0.634 0.642
Br 0.366 0.380 0.858

Summary:
SG: P-31c (163)
Raw formation energy: -1.439 eV/atom
Theoretical density: 3.51 g/cm³

---

No. 2
The following is a PBE-GGA calculation of an optimized crystal structure of Tb2Al2In, from Alexandria.

a = 7.241 Å, b = 7.241 Å, c = 9.184 Å
α = 90.00°, β = 90.00°, γ = 90.00°
Fractional positions:
Tb 0.670 0.830 0.500
Tb 0.330 0.170 0.500
Tb 0.830 0.330 0.000
Tb 0.170 0.670 0.000
Tb 0.830 0.330 0.500
Tb 0.170 0.670 0.500
Tb 0.330 0.170 0.000
Tb 0.670 0.830 0.000
Al 0.372 0.872 0.250
Al 0.628 0.128 0.250
Al 0.128 0.372 0.750
Al 0.872 0.628 0.750
Al 0.872 0.628 0.250
Al 0.128 0.372 0.250
Al 0.372 0.872 0.750
Al 0.628 0.128 0.750
In 0.500 0.500 0.250
In 0.000 0.000 0.750
In 0.500 0.500 0.750
In 0.000 0.000 0.250

Summary:
SG: P4/mbm (127)
E_form: -0.470 eV/atom
Theoretical density: 6.71 g/cm³

---

no.,E (eV for the cell shown),size of the total moment (μB/f.u.)
1,-62.67,0.00
2,-87.34,0.00